Entry 1:
Cs2GaGe: relaxed, GGA-PBE.

Cell: 4.4051 7.0059 7.0068 Å, 59.46 71.51 71.53°
Fractional positions:
Ga: 0.7501 0.0167 0.4833
Cs: 0.4274 0.4741 0.6710
Cs: 0.0724 0.8291 0.0259
Ge: 0.2502 0.1802 0.3198

Magnetic moment: 0.0 μB per cell
Calculated total energy: -2.3902 eV per atom
Excess energy over the best structure of this formula in the dataset: 0.0 meV per atom
Energy relative to the elements: -52 meV/atom
Space group: C2, No. 5

---

Entry 2:
Cs2Ga3Ge2: relaxed, GGA-PBE.

Cell: 4.1988 7.6152 7.3650 Å, 89.49 92.69 108.66°
Fractional positions:
Ge: 0.6161 0.2186 0.8913
Ge: 0.3839 0.7814 0.1087
Ga: 0.7694 0.5445 0.1186
Ga: 0.0000 0.0000 0.0000
Ga: 0.2306 0.4555 0.8814
Cs: 0.1034 0.2511 0.4084
Cs: 0.8966 0.7489 0.5916

Magnetic moment: 0.0 μB per cell
Calculated total energy: -2.8441 eV per atom
Energy relative to the elements: 16 meV/atom
Space group: P-1, No. 2

---

Entry 3:
CsGa3Ge3: relaxed, GGA-PBE.

Cell: 7.4418 7.4418 9.7959 Å, 67.68 67.68 60.00°
Fractional positions:
Ge: 0.5616 0.8922 0.3218
Ge: 0.4384 0.1078 0.6782
Ge: 0.2243 0.5616 0.3218
Ge: 0.8922 0.2243 0.3218
Ge: 0.1078 0.7757 0.6782
Ge: 0.7757 0.4384 0.6782
Ga: 0.7887 0.1217 0.6332
Ga: 0.2113 0.8783 0.3668
Ga: 0.1217 0.4563 0.6332
Ga: 0.4563 0.7887 0.6332
Ga: 0.5437 0.2113 0.3668
Ga: 0.8783 0.5437 0.3668
Cs: 0.3333 0.3333 0.0001
Cs: 0.6667 0.6667 0.9999

Magnetic moment: 0.0 μB per cell
Calculated total energy: -3.3694 eV per atom
Excess energy over the best structure of this formula in the dataset: 117.3 meV per atom
Energy relative to the elements: 29 meV/atom
Space group: R-3, No. 148

---

Entry 4:
CsGa8Ge2: relaxed, GGA-PBE.

Cell: 4.4467 4.2789 14.6997 Å, 76.75 83.07 72.89°
Fractional positions:
Ga: 0.1018 0.3106 0.6809
Ga: 0.6137 0.5154 0.1951
Ga: 0.7660 0.8708 0.7808
Ga: 0.2340 0.1292 0.2192
Ga: 0.8982 0.6894 0.3191
Ga: 0.3863 0.4846 0.8049
Ga: 0.7911 0.2547 0.5318
Ga: 0.2089 0.7453 0.4682
Cs: 0.0000 0.0000 0.0000
Ge: 0.4872 0.2221 0.3771
Ge: 0.5128 0.7779 0.6229

Magnetic moment: 0.0 μB per cell
Calculated total energy: -3.0979 eV per atom
Energy relative to the elements: 21 meV/atom
Space group: P-1, No. 2

---

Q: Among the records above, which one has the highest energy relative to the elements?
A: CsGa3Ge3

---

Q: Which formula does entry 4 have?
A: CsGa8Ge2